[1]
Below is an optimized crystal structure of Dy2Ho3Er6, with properties calculated at the PBE level.

Summary:
As for the formation energy: 0.022 eV per atom. As for the density: 9.0 g cm⁻³.

```
Dy2Ho3Er6
1.0
3.505 0.000 0.215
1.746 3.039 0.215
-0.173 -0.100 31.496
Ho Dy Er
3 2 6
Direct
0.727 0.727 0.818
0.273 0.273 0.182
0.000 0.000 0.000
0.545 0.545 0.364
0.455 0.455 0.636
0.636 0.636 0.091
0.182 0.182 0.455
0.909 0.909 0.273
0.818 0.818 0.545
0.091 0.091 0.727
0.364 0.364 0.909
```

=====

[2]
Below is an optimized crystal structure of Dy2HoEr2, with properties calculated at the PBE level.

Summary:
As for the formation energy: 0.021 eV per atom. As for the density: 8.9 g cm⁻³.

```
Dy2HoEr2
1.0
4.973 0.000 -0.004
-2.487 5.507 0.726
-0.009 -1.447 11.021
Ho Dy Er
2 4 4
Direct
0.250 0.500 0.750
0.750 0.500 0.250
0.450 0.900 0.150
0.550 0.100 0.850
0.350 0.700 0.450
0.650 0.300 0.550
0.150 0.300 0.050
0.950 0.900 0.650
0.850 0.700 0.950
0.050 0.100 0.350
```